A plane-wave DFT calculation with PBE-GGA was carried out for a geometry-optimized Cd15In6Hg8 structure.

POSCAR file:
```
Cd15In6Hg8
1.0
0.000 7.170 7.170
7.170 0.000 7.170
7.170 7.170 0.000
Cd In Hg
15 6 8
direct
0.000 0.000 0.000
0.000 0.000 0.500
0.000 0.500 0.000
0.000 0.500 0.500
0.011 0.663 0.663
0.337 0.337 0.337
0.337 0.337 0.989
0.337 0.989 0.337
0.500 0.000 0.000
0.500 0.000 0.500
0.500 0.500 0.000
0.663 0.011 0.663
0.663 0.663 0.011
0.663 0.663 0.663
0.989 0.337 0.337
0.326 0.326 0.674
0.326 0.674 0.326
0.326 0.674 0.674
0.674 0.326 0.326
0.674 0.326 0.674
0.674 0.674 0.326
0.119 0.119 0.119
0.119 0.119 0.643
0.119 0.643 0.119
0.357 0.881 0.881
0.643 0.119 0.119
0.881 0.357 0.881
0.881 0.881 0.357
0.881 0.881 0.881
```

Values from the calculation:
* magnetization: 0.00 μB/cell
* ΔH_f (0 K): 5.5 kJ per mole of atoms


A plane-wave DFT calculation with PBE-GGA was carried out for a geometry-optimized LiTmCu2Si2 structure.

POSCAR file:
```
LiTmCu2Si2
1.0
4.066 0.000 0.000
-2.033 3.521 0.000
0.000 0.000 6.440
Li Tm Cu Si
1 1 2 2
direct
0.000 0.000 0.000
0.000 0.000 0.500
0.333 0.667 0.176
0.667 0.333 0.824
0.333 0.667 0.781
0.667 0.333 0.219
```

Values from the calculation:
* magnetization: 0.00 μB/cell
* raw formation energy: -0.457 eV/atom


A plane-wave DFT calculation with PBE-GGA was carried out for a geometry-optimized LaRhPb2 structure.

POSCAR file:
```
LaRhPb2
1.0
10.531 0.000 0.000
0.000 3.711 0.000
-2.540 0.000 5.631
La Rh Pb
2 2 4
direct
0.000 0.000 0.000
0.500 0.500 0.000
0.293 0.000 0.987
0.793 0.500 0.987
0.131 0.500 0.615
0.333 0.500 0.364
0.631 0.000 0.615
0.833 0.000 0.364
```

Values from the calculation:
* magnetization: 0.00 μB/cell
* ΔH_f (0 K): -34.6 kJ per mole of atoms


A plane-wave DFT calculation with PBE-GGA was carried out for a geometry-optimized CdCoAg2W structure.

POSCAR file:
```
CdCoAg2W
1.0
4.825 0.000 0.000
0.000 4.825 0.000
0.000 0.000 4.320
Cd Co Ag W
1 1 2 1
direct
0.000 0.000 0.000
0.500 0.500 0.500
0.000 0.500 0.500
0.500 0.000 0.500
0.500 0.500 0.000
```

Values from the calculation:
* magnetization: 0.42 μB/cell
* ΔH_f (0 K): 103.8 kJ per mole of atoms


A plane-wave DFT calculation with PBE-GGA was carried out for a geometry-optimized La4TlSbC structure.

POSCAR file:
```
La4TlSbC
1.0
3.592 -8.525 0.000
3.592 8.525 0.000
0.000 0.000 7.171
La Tl Sb C
8 2 2 2
direct
0.000 0.500 0.000
0.000 0.500 0.500
0.080 0.920 0.750
0.413 0.587 0.750
0.500 0.000 0.000
0.500 0.000 0.500
0.587 0.413 0.250
0.920 0.080 0.250
0.111 0.889 0.250
0.889 0.111 0.750
0.388 0.612 0.250
0.612 0.388 0.750
0.270 0.730 0.750
0.730 0.270 0.250
```

Values from the calculation:
* magnetization: 0.00 μB/cell
* raw formation energy: -0.533 eV/atom


A plane-wave DFT calculation with PBE-GGA was carried out for a geometry-optimized NaCeDy2Te4 structure.

POSCAR file:
```
NaCeDy2Te4
1.0
7.682 0.000 0.000
0.000 4.390 0.000
-2.511 0.000 7.327
Na Ce Dy Te
1 1 2 4
direct
0.000 0.000 0.000
0.500 0.500 0.000
0.000 0.500 0.500
0.500 0.000 0.500
0.244 0.000 0.741
0.251 0.500 0.260
0.749 0.500 0.740
0.756 0.000 0.259
```

Values from the calculation:
* magnetization: 1.31 μB/cell
* raw formation energy: -1.318 eV/atom